Entry from Alexandria via LeMat-Bulk: crystalline MnO at its relaxed geometry (PBE+U).

Properties
Space group: I-43m
V (A^3/atom): 17.9
DFT total energy (eV for the cell shown): -123.06
N(E_F) (states/eV/atom): 0.027

Lattice parameters (Å, degrees): 6.595 6.595 6.595 90.00 90.00 90.00
Site moments in Bohr magnetons follow the coordinates.
Sites, in units of the cell vectors:
Mn (0.336, 0.336, 0.336)  4.62
Mn (0.336, 0.664, 0.664)  4.62
Mn (0.664, 0.336, 0.664)  4.62
Mn (0.664, 0.664, 0.336)  4.62
Mn (0.836, 0.836, 0.836)  4.62
Mn (0.836, 0.164, 0.164)  4.62
Mn (0.164, 0.836, 0.164)  4.62
Mn (0.164, 0.164, 0.836)  4.62
O (0.160, 0.160, 0.160)  0.09
O (0.160, 0.840, 0.840)  0.09
O (0.840, 0.160, 0.840)  0.09
O (0.840, 0.840, 0.160)  0.09
O (0.660, 0.660, 0.660)  0.09
O (0.660, 0.340, 0.340)  0.09
O (0.340, 0.660, 0.340)  0.09
O (0.340, 0.340, 0.660)  0.09